# 1
VASP calculation (PBE) on a relaxed structure of CeUNi4.

## Properties
calculated formation energy = -0.269 eV/atom
N(E_F) = 1.52 states/eV per atom
volume = 15.05 A^3/atom

```
data_CeUNi4
_chemical_formula_sum 'Ce4 U4 Ni16'
_space_group_name_H-M_alt 'F -4 3 m'
_space_group_IT_number 216
_space_group_name_Hall 'F -4 2 3'
_cell_length_a 7.121
_cell_length_b 7.121
_cell_length_c 7.121
_cell_angle_alpha 90.00
_cell_angle_beta 90.00
_cell_angle_gamma 90.00
loop_
_atom_site_label
_atom_site_fract_x
_atom_site_fract_y
_atom_site_fract_z
_atom_site_occupancy
Ce1 0.000 0.000 0.000 1
U1 0.250 0.250 0.750 1
Ni1 0.124 0.124 0.376 1
```

=====

# 2
VASP calculation (PBE) on a relaxed structure of Ce2V2Ni15.

## Properties
calculated formation energy = -0.252 eV/atom
N(E_F) = 1.61 states/eV per atom
volume = 12.84 A^3/atom

```
data_Ce2V2Ni15
_chemical_formula_sum 'Ce6 V6 Ni45'
_space_group_name_H-M_alt 'R -3 m'
_space_group_IT_number 166
_space_group_name_Hall '-R 3 2"'
_cell_length_a 8.2913
_cell_length_b 8.2913
_cell_length_c 12.2937
_cell_angle_alpha 90.00
_cell_angle_beta 90.00
_cell_angle_gamma 120.00
loop_
_atom_site_label
_atom_site_fract_x
_atom_site_fract_y
_atom_site_fract_z
_atom_site_occupancy
Ce1 0.0000 0.0000 0.1578 1
V1 0.0000 0.0000 0.4109 1
Ni1 0.0000 0.3019 0.5000 1
Ni2 0.0000 0.5000 0.0000 1
Ni3 0.0022 0.5011 0.3429 1
```

=====

# 3
VASP calculation (PBE) on a relaxed structure of Ce2VNi.

## Properties
calculated formation energy = 0.369 eV/atom
N(E_F) = 1.84 states/eV per atom
volume = 18.34 A^3/atom

```
data_Ce2VNi
_chemical_formula_sum 'Ce6 V3 Ni3'
_space_group_name_H-M_alt 'R -3 m'
_space_group_IT_number 166
_space_group_name_Hall '-R 3 2"'
_cell_length_a 2.9096
_cell_length_b 2.9096
_cell_length_c 30.0133
_cell_angle_alpha 90.00
_cell_angle_beta 90.00
_cell_angle_gamma 120.00
loop_
_atom_site_label
_atom_site_fract_x
_atom_site_fract_y
_atom_site_fract_z
_atom_site_occupancy
Ce1 0.0000 0.0000 0.0872 1
V1 0.0000 0.0000 0.0000 1
Ni1 0.0000 0.0000 0.5000 1
```

=====

# 4
VASP calculation (PBE) on a relaxed structure of CeYNi.

## Properties
calculated formation energy = -0.149 eV/atom
N(E_F) = 1.93 states/eV per atom
volume = 24.02 A^3/atom

```
data_CeYNi
_chemical_formula_sum 'Ce2 Y2 Ni2'
_space_group_name_H-M_alt 'I 4 m m'
_space_group_IT_number 107
_space_group_name_Hall 'I 4 -2'
_cell_length_a 3.420
_cell_length_b 3.420
_cell_length_c 12.322
_cell_angle_alpha 90.00
_cell_angle_beta 90.00
_cell_angle_gamma 90.00
loop_
_atom_site_label
_atom_site_fract_x
_atom_site_fract_y
_atom_site_fract_z
_atom_site_occupancy
Ce1 0.000 0.000 0.000 1
Y1 0.000 0.000 0.268 1
Ni1 0.000 0.000 0.631 1
```

=====

# 5
VASP calculation (PBE) on a relaxed structure of CeY2Ni.

## Properties
calculated formation energy = 0.124 eV/atom
N(E_F) = 2.07 states/eV per atom
energy relative to the lowest polymorph listed for this composition = 117 kJ/mol of formula units
volume = 27.61 A^3/atom

```
data_CeY2Ni
_chemical_formula_sum 'Ce3 Y6 Ni3'
_space_group_name_H-M_alt 'R -3 m'
_space_group_IT_number 166
_space_group_name_Hall '-R 3 2"'
_cell_length_a 3.4897
_cell_length_b 3.4897
_cell_length_c 31.4134
_cell_angle_alpha 90.00
_cell_angle_beta 90.00
_cell_angle_gamma 120.00
loop_
_atom_site_label
_atom_site_fract_x
_atom_site_fract_y
_atom_site_fract_z
_atom_site_occupancy
Ce1 0.0000 0.0000 0.0000 1
Y1 0.0000 0.0000 0.1086 1
Ni1 0.0000 0.0000 0.5000 1
```

=====

# 6
VASP calculation (PBE) on a relaxed structure of CeY3Ni.

## Properties
calculated formation energy = 0.009 eV/atom
N(E_F) = 2.64 states/eV per atom
volume = 30.50 A^3/atom

```
data_CeY3Ni
_chemical_formula_sum 'Ce1 Y3 Ni1'
_space_group_name_H-M_alt 'P m -3 m'
_space_group_IT_number 221
_space_group_name_Hall '-P 4 2 3'
_cell_length_a 5.343
_cell_length_b 5.343
_cell_length_c 5.343
_cell_angle_alpha 90.00
_cell_angle_beta 90.00
_cell_angle_gamma 90.00
loop_
_atom_site_label
_atom_site_fract_x
_atom_site_fract_y
_atom_site_fract_z
_atom_site_occupancy
Ce1 0.000 0.000 0.000 1
Y1 0.000 0.500 0.500 1
Ni1 0.500 0.500 0.500 1
```

=====

# 7
VASP calculation (PBE) on a relaxed structure of CeY2Ni.

## Properties
calculated formation energy = -0.180 eV/atom
N(E_F) = 2.02 states/eV per atom
energy relative to the lowest polymorph listed for this composition = 0 kJ/mol of formula units
volume = 26.44 A^3/atom

```
data_CeY2Ni
_chemical_formula_sum 'Ce4 Y8 Ni4'
_space_group_name_H-M_alt 'P n m a'
_space_group_IT_number 62
_space_group_name_Hall '-P 2ac 2n'
_cell_length_a 6.842
_cell_length_b 9.667
_cell_length_c 6.396
_cell_angle_alpha 90.00
_cell_angle_beta 90.00
_cell_angle_gamma 90.00
loop_
_atom_site_label
_atom_site_fract_x
_atom_site_fract_y
_atom_site_fract_z
_atom_site_occupancy
Ce1 0.040 0.250 0.151 1
Y1 0.176 0.067 0.673 1
Ni1 0.124 0.750 0.459 1
```

=====

# 8
VASP calculation (PBE) on a relaxed structure of CeYNi2.

## Properties
calculated formation energy = -0.383 eV/atom
N(E_F) = 1.33 states/eV per atom
volume = 20.27 A^3/atom

```
data_CeYNi2
_chemical_formula_sum 'Ce1 Y1 Ni2'
_space_group_name_H-M_alt 'P 1 m 1'
_space_group_IT_number 6
_space_group_name_Hall 'P -2y'
_cell_length_a 3.608
_cell_length_b 4.319
_cell_length_c 5.503
_cell_angle_alpha 90.00
_cell_angle_beta 109.03
_cell_angle_gamma 90.00
loop_
_atom_site_label
_atom_site_fract_x
_atom_site_fract_y
_atom_site_fract_z
_atom_site_occupancy
Ce1 0.000 0.000 0.000 1
Y1 0.270 0.500 0.542 1
Ni1 0.549 0.500 0.098 1
Ni2 0.704 0.000 0.410 1
```

=====

# 9
VASP calculation (PBE) on a relaxed structure of CeYNi2.

## Properties
calculated formation energy = -0.303 eV/atom
N(E_F) = 1.35 states/eV per atom
volume = 19.67 A^3/atom

```
data_CeYNi2
_chemical_formula_sum 'Ce1 Y1 Ni2'
_space_group_name_H-M_alt 'P 4/m m m'
_space_group_IT_number 123
_space_group_name_Hall '-P 4 2'
_cell_length_a 4.830
_cell_length_b 4.830
_cell_length_c 3.373
_cell_angle_alpha 90.00
_cell_angle_beta 90.00
_cell_angle_gamma 90.00
loop_
_atom_site_label
_atom_site_fract_x
_atom_site_fract_y
_atom_site_fract_z
_atom_site_occupancy
Ce1 0.000 0.000 0.000 1
Y1 0.500 0.500 0.000 1
Ni1 0.000 0.500 0.500 1
```

=====

# 10
VASP calculation (PBE) on a relaxed structure of CeY2Ni.

## Properties
calculated formation energy = -0.119 eV/atom
N(E_F) = 1.67 states/eV per atom
energy relative to the lowest polymorph listed for this composition = 24 kJ/mol of formula units
volume = 25.64 A^3/atom

```
data_CeY2Ni
_chemical_formula_sum 'Ce1 Y2 Ni1'
_space_group_name_H-M_alt 'P 4/m m m'
_space_group_IT_number 123
_space_group_name_Hall '-P 4 2'
_cell_length_a 3.422
_cell_length_b 3.422
_cell_length_c 8.758
_cell_angle_alpha 90.00
_cell_angle_beta 90.00
_cell_angle_gamma 90.00
loop_
_atom_site_label
_atom_site_fract_x
_atom_site_fract_y
_atom_site_fract_z
_atom_site_occupancy
Ce1 0.000 0.000 0.000 1
Y1 0.500 0.500 0.313 1
Ni1 0.000 0.000 0.500 1
```

=====

# 11
VASP calculation (PBE) on a relaxed structure of CeZnNi6.

## Properties
calculated formation energy = -0.014 eV/atom
N(E_F) = 1.34 states/eV per atom
volume = 14.36 A^3/atom

```
data_CeZnNi6
_chemical_formula_sum 'Ce1 Zn1 Ni6'
_space_group_name_H-M_alt 'P 4/m m m'
_space_group_IT_number 123
_space_group_name_Hall '-P 4 2'
_cell_length_a 3.611
_cell_length_b 3.611
_cell_length_c 8.809
_cell_angle_alpha 90.00
_cell_angle_beta 90.00
_cell_angle_gamma 90.00
loop_
_atom_site_label
_atom_site_fract_x
_atom_site_fract_y
_atom_site_fract_z
_atom_site_occupancy
Ce1 0.000 0.000 0.000 1
Zn1 0.000 0.000 0.500 1
Ni1 0.000 0.500 0.312 1
Ni2 0.500 0.500 0.135 1
```

=====

Question: The lowest N(E_F) belongs to which entry?
Answer: number 8

=====

Question: Which value of N(E_F) does entry 7 give?
Answer: 2.02 states/eV per atom

=====

Question: Which of these has the highest calculated formation energy?
Answer: Ce2VNi